LiPrScSn, optimized geometry, DFT PBE; calculated volume = 99 Å³ per cell; SG = F-43m (216); energy relative to the elements = -399 meV per atom
1.0
0.000 3.670 3.670
3.670 0.000 3.670
3.670 3.670 0.000
Li Pr Sc Sn
1 1 1 1
Direct
0.000 0.000 0.000
0.250 0.250 0.250
0.750 0.750 0.750
0.500 0.500 0.500